This record from Alexandria via LeMat-Bulk describes a relaxed PmTlO3 crystal. The functional is PBE.

Properties
**Formation energy without anion corrections**: -1.8492 eV per atom
**Symmetry**: No. 182
**Uncorrected energy**: -6.2475 eV per atom
**DOS at the Fermi energy**: 0.0000 states/eV/atom

Cell: 5.7237 5.7535 5.7535 Å, 120.00 90.00 90.00°
Positions (direct):
O: 0.5000 0.3184 0.3184
O: 0.5000 0.6816 0.0000
O: 0.0000 0.0000 0.3184
O: 0.5000 0.0000 0.6816
O: 0.0000 0.6816 0.6816
O: 0.0000 0.3184 0.0000
Tl: 0.7500 0.0000 0.0000
Tl: 0.2500 0.0000 0.0000
Pm: 0.7500 0.3333 0.6667
Pm: 0.2500 0.6667 0.3333

=====

This record from Alexandria via LeMat-Bulk describes a relaxed PmTlO3 crystal. The functional is PBE.

Properties
**Formation energy without anion corrections**: -1.9982 eV per atom
**Symmetry**: No. 11
**Uncorrected energy**: -6.3965 eV per atom

Cell: 3.8823 5.7345 9.1280 Å, 118.43 90.00 90.00°
Positions (direct):
O: 0.7500 0.6672 0.3496
O: 0.7500 0.1942 0.3829
O: 0.7500 0.5531 0.8891
O: 0.2500 0.8688 0.6504
O: 0.2500 0.9830 0.1109
O: 0.2500 0.3418 0.6171
Tl: 0.7500 0.7997 0.1601
Tl: 0.2500 0.7364 0.8399
Pm: 0.2500 0.4309 0.3938
Pm: 0.7500 0.1052 0.6062

=====

This record from Alexandria via LeMat-Bulk describes a relaxed Pm3TlO crystal. The functional is PBE.

Properties
**Formation energy without anion corrections**: -1.3617 eV per atom
**Symmetry**: No. 221
**Uncorrected energy**: -5.6770 eV per atom
**DOS at the Fermi energy**: 0.3269 states/eV/atom

Cell: 4.9443 4.9443 4.9443 Å, 90.00 90.00 90.00°
Positions (direct):
Pm: 0.0000 0.5000 0.0000
Pm: 0.5000 0.0000 0.0000
Pm: 0.0000 0.0000 0.5000
O: 0.0000 0.0000 0.0000
Tl: 0.5000 0.5000 0.5000

=====

This record from Alexandria via LeMat-Bulk describes a relaxed PmTmTl2O6 crystal. The functional is PBE.

Properties
**Formation energy without anion corrections**: -2.0595 eV per atom
**Symmetry**: No. 146
**Uncorrected energy**: -6.4299 eV per atom

Cell: 5.8526 5.8526 6.1581 Å, 61.63 61.63 60.00°
Positions (direct):
Tm: 0.3123 0.3123 0.0631
Tl: 0.5297 0.5296 0.4111
Tl: 0.0258 0.0259 0.9225
O: 0.1293 0.4068 0.7608
O: 0.4068 0.7031 0.7607
O: 0.6104 0.2127 0.2518
O: 0.2127 0.9251 0.2518
O: 0.7031 0.1293 0.7608
O: 0.9251 0.6104 0.2518
Pm: 0.8064 0.8064 0.5808

=====

This record from Alexandria via LeMat-Bulk describes a relaxed Pm2TmTlO crystal. The functional is PBE.

Properties
**Formation energy without anion corrections**: -1.3456 eV per atom
**Symmetry**: No. 123
**Uncorrected energy**: -5.6051 eV per atom
**DOS at the Fermi energy**: 0.4403 states/eV/atom

Cell: 4.6574 4.9899 4.9899 Å, 90.00 90.00 90.00°
Positions (direct):
O: 0.0000 0.0000 0.0000
Pm: 0.0000 0.0000 0.5000
Pm: 0.0000 0.5000 0.0000
Tl: 0.5000 0.5000 0.5000
Tm: 0.5000 0.0000 0.0000

=====

This record from Alexandria via LeMat-Bulk describes a relaxed PmUTlO6 crystal. The functional is PBE.

Properties
**Formation energy without anion corrections**: -2.4719 eV per atom
**Symmetry**: No. 163
**Uncorrected energy**: -7.8224 eV per atom
**DOS at the Fermi energy**: 0.0000 states/eV/atom

Cell: 5.6721 5.6721 10.2096 Å, 90.00 90.00 120.00°
Positions (direct):
O: 0.3303 0.9730 0.6345
O: 0.6697 0.6427 0.1345
O: 0.6697 0.0270 0.3655
O: 0.3573 0.3303 0.3655
O: 0.0270 0.3573 0.6345
O: 0.9730 0.3303 0.1345
O: 0.3303 0.3573 0.8655
O: 0.0270 0.6697 0.8655
O: 0.9730 0.6427 0.3655
O: 0.3573 0.0270 0.1345
O: 0.6427 0.6697 0.6345
O: 0.6427 0.9730 0.8655
Pm: 0.0000 0.0000 0.5000
Pm: 0.0000 0.0000 0.0000
U: 0.6667 0.3333 0.2500
U: 0.3333 0.6667 0.7500
Tl: 0.3333 0.6667 0.2500
Tl: 0.6667 0.3333 0.7500

=====

Q: Which value of formation energy without anion corrections does entry 6 give?
A: -2.4719 eV per atom

=====

Q: What is the formation energy without anion corrections in the sixth record?
A: -2.4719 eV per atom

=====

Q: Look up the formation energy without anion corrections of the third one.
A: -1.3617 eV per atom

=====

Q: Among the records above, which one has the lowest uncorrected energy?
A: PmUTlO6